Material: MgFeRh2
Method: DFT, PBE-GGA
State: optimized geometry

POSCAR file:
```
MgFeRh2
1.0
4.352 0.000 0.000
2.176 3.769 0.000
2.176 1.256 3.553
Mg Rh Fe
1 2 1
direct
0.250 0.250 0.250
0.750 0.750 0.750
0.000 0.000 0.000
0.500 0.500 0.500
```

Output
**Formation energy from the elements**: 0.05 eV/f.u.
**DOS(E_F)**: 1.088 states/eV per atom

---

Material: MgFeRh2
Method: DFT, PBE-GGA
State: optimized geometry

POSCAR file:
```
MgFeRh2
1.0
-1.408 2.737 -3.346
-1.520 0.115 -4.283
-4.798 -0.076 0.786
Fe Rh Mg
1 2 1
direct
0.750 0.750 0.750
0.006 0.006 0.989
0.494 0.494 0.511
0.250 0.250 0.250
```

Output
**Formation energy from the elements**: -0.53 eV/f.u.
**DOS(E_F)**: 0.809 states/eV per atom

---

Material: MgFeRh2
Method: DFT, PBE-GGA
State: optimized geometry

POSCAR file:
```
MgFeRh2
1.0
-1.803 1.353 4.343
-4.714 -1.112 0.695
3.959 -2.452 -1.502
Rh Fe Mg
2 1 1
direct
0.250 0.750 0.500
0.000 0.000 0.000
0.500 0.500 0.000
0.750 0.250 0.500
```

Output
**Formation energy from the elements**: -0.50 eV/f.u.
**DOS(E_F)**: 1.269 states/eV per atom

---

Material: MgFeRh
Method: DFT, PBE-GGA
State: optimized geometry

POSCAR file:
```
MgFeRh
1.0
4.257 0.000 0.000
-2.129 3.687 0.000
0.000 0.000 2.821
Fe Rh Mg
1 1 1
direct
0.000 0.000 0.939
0.333 0.667 0.734
0.667 0.333 0.328
```

Output
**Formation energy from the elements**: -0.24 eV/f.u.
**DOS(E_F)**: 0.815 states/eV per atom

---

Material: MgFeRh
Method: DFT, PBE-GGA
State: optimized geometry

POSCAR file:
```
MgFeRh
1.0
-3.254 -2.624 0.476
0.675 -4.128 0.451
-0.685 -1.850 3.716
Rh Fe Mg
1 1 1
direct
0.750 0.750 0.750
0.000 0.000 0.000
0.500 0.500 0.500
```

Output
**Formation energy from the elements**: 0.61 eV/f.u.
**DOS(E_F)**: 1.547 states/eV per atom

---

Material: MgFeRh2
Method: DFT, PBE-GGA
State: optimized geometry

POSCAR file:
```
MgFeRh2
1.0
-2.714 -0.581 -1.271
0.317 -2.959 0.677
-2.749 0.949 5.438
Rh Mg Fe
2 1 1
direct
0.000 0.000 0.484
0.000 0.000 0.016
0.500 0.500 0.750
0.500 0.500 0.250
```

Output
**Formation energy from the elements**: -1.26 eV/f.u.
**DOS(E_F)**: 0.292 states/eV per atom

---

Material: MgFeRh2
Method: DFT, PBE-GGA
State: optimized geometry

POSCAR file:
```
MgFeRh2
1.0
-1.942 2.284 0.493
-2.462 -1.388 -3.268
-2.231 -2.489 2.738
Fe Mg Rh
1 1 2
direct
0.500 0.000 0.000
0.500 0.500 0.500
0.000 0.500 0.000
0.000 0.000 0.500
```

Output
**Formation energy from the elements**: -1.14 eV/f.u.
**DOS(E_F)**: 0.472 states/eV per atom

---

Material: MgFeRh
Method: DFT, PBE-GGA
State: optimized geometry

POSCAR file:
```
MgFeRh
1.0
-0.762 -3.577 1.875
6.033 -1.640 -0.677
-1.858 3.095 5.150
Rh Mg Fe
3 3 3
direct
0.000 0.000 0.000
0.500 0.333 0.667
0.500 0.667 0.333
0.000 0.432 0.000
0.000 0.000 0.432
0.000 0.568 0.568
0.500 0.236 0.236
0.500 0.000 0.764
0.500 0.764 0.000
```

Output
**Formation energy from the elements**: -0.33 eV/f.u.
**DOS(E_F)**: 0.672 states/eV per atom

---

Material: MgFeRh2
Method: DFT, PBE-GGA
State: optimized geometry

POSCAR file:
```
MgFeRh2
1.0
5.150 -0.067 -0.127
2.560 4.470 0.127
-3.383 -3.029 2.436
Rh Fe Mg
2 1 1
direct
0.002 0.002 0.000
0.259 0.759 0.500
0.491 0.491 0.000
0.748 0.248 0.500
```

Output
**Formation energy from the elements**: -0.61 eV/f.u.
**DOS(E_F)**: 0.820 states/eV per atom

---

Material: MgFe2Rh
Method: DFT, PBE-GGA
State: optimized geometry

POSCAR file:
```
MgFe2Rh
1.0
-3.368 1.503 -0.420
-1.556 -3.314 0.617
-0.136 0.799 3.952
Fe Mg Rh
2 1 1
direct
0.000 0.000 0.000
0.500 0.500 0.000
0.500 0.000 0.500
0.000 0.500 0.500
```

Output
**Formation energy from the elements**: -0.06 eV/f.u.
**DOS(E_F)**: 0.726 states/eV per atom

---

Material: MgFe2Rh
Method: DFT, PBE-GGA
State: optimized geometry

POSCAR file:
```
MgFe2Rh
1.0
-1.609 4.598 1.568
-3.907 2.276 -2.397
1.576 -4.123 2.590
Mg Rh Fe
1 1 2
direct
0.750 0.250 0.500
0.250 0.750 0.500
0.011 0.011 0.000
0.489 0.489 0.000
```

Output
**Formation energy from the elements**: -0.12 eV/f.u.
**DOS(E_F)**: 0.863 states/eV per atom

---

Material: MgFeRh2
Method: DFT, PBE-GGA
State: optimized geometry

POSCAR file:
```
MgFeRh2
1.0
2.784 0.000 0.000
0.000 4.877 -0.002
0.000 3.167 4.224
Mg Rh Fe
1 2 1
direct
0.000 0.000 0.500
0.500 0.500 0.000
0.000 0.000 0.000
0.500 0.500 0.500
```

Output
**Formation energy from the elements**: -0.48 eV/f.u.
**DOS(E_F)**: 0.780 states/eV per atom

---

Material: MgFe2Rh
Method: DFT, PBE-GGA
State: optimized geometry

POSCAR file:
```
MgFe2Rh
1.0
-0.797 6.267 3.111
-2.938 -3.142 5.576
0.436 1.321 5.421
Fe Mg Rh
4 2 2
direct
0.657 0.125 0.250
0.875 0.907 0.750
0.093 0.625 0.250
0.375 0.343 0.750
0.250 0.750 0.500
0.500 0.500 0.000
0.750 0.250 0.500
0.000 0.000 0.000
```

Output
**Formation energy from the elements**: 1.58 eV/f.u.
**DOS(E_F)**: 1.184 states/eV per atom

---

Material: MgFe2Rh
Method: DFT, PBE-GGA
State: optimized geometry

POSCAR file:
```
MgFe2Rh
1.0
-1.928 -3.379 -3.142
-0.090 -4.726 1.634
-1.561 4.672 0.865
Fe Mg Rh
2 1 1
direct
0.992 0.992 0.000
0.767 0.267 0.500
0.502 0.502 0.000
0.239 0.739 0.500
```

Output
**Formation energy from the elements**: -0.03 eV/f.u.
**DOS(E_F)**: 0.779 states/eV per atom

---

Material: MgFe3Rh
Method: DFT, PBE-GGA
State: optimized geometry

POSCAR file:
```
MgFe3Rh
1.0
-3.136 3.405 0.000
-2.003 -1.844 3.743
2.753 2.536 2.723
Fe Mg Rh
3 1 1
direct
0.500 0.000 0.000
0.000 0.000 0.500
0.000 0.500 0.000
0.500 0.500 0.500
0.000 0.000 0.000
```

Output
**Formation energy from the elements**: 4.90 eV/f.u.
**DOS(E_F)**: 0.769 states/eV per atom

---

Material: MgFe2Rh2
Method: DFT, PBE-GGA
State: optimized geometry

POSCAR file:
```
MgFe2Rh2
1.0
7.238 0.000 0.000
0.000 7.238 0.000
0.000 0.000 2.783
Mg Fe Rh
2 4 4
direct
0.500 0.500 0.000
0.000 0.000 0.000
0.383 0.883 0.000
0.883 0.617 0.000
0.617 0.117 0.000
0.117 0.383 0.000
0.822 0.322 0.500
0.678 0.822 0.500
0.178 0.678 0.500
0.322 0.178 0.500
```

Output
**Formation energy from the elements**: -0.14 eV/f.u.
**DOS(E_F)**: 1.397 states/eV per atom

---

Material: MgFeRh6
Method: DFT, PBE-GGA
State: optimized geometry

POSCAR file:
```
MgFeRh6
1.0
4.511 0.000 0.000
0.000 4.511 0.000
0.000 0.000 5.674
Rh Mg Fe
6 1 1
direct
0.500 0.000 0.745
0.000 0.500 0.745
0.500 0.000 0.255
0.500 0.500 0.000
0.000 0.500 0.255
0.500 0.500 0.500
0.000 0.000 0.000
0.000 0.000 0.500
```

Output
**Formation energy from the elements**: -0.01 eV/f.u.
**DOS(E_F)**: 1.292 states/eV per atom

---

Material: Mg4FeRh5
Method: DFT, PBE-GGA
State: optimized geometry

POSCAR file:
```
Mg4FeRh5
1.0
-1.657 -0.814 2.484
-2.217 -1.120 -1.846
6.921 -13.840 0.082
Mg Rh Fe
4 5 1
direct
0.000 0.000 0.601
0.000 0.000 0.802
0.000 0.000 0.399
0.000 0.000 0.198
0.500 0.500 0.500
0.500 0.500 0.703
0.500 0.500 0.092
0.500 0.500 0.908
0.500 0.500 0.297
0.000 0.000 0.000
```

Output
**Formation energy from the elements**: -4.04 eV/f.u.
**DOS(E_F)**: 0.664 states/eV per atom

---

Material: MgFe2Rh2
Method: DFT, PBE-GGA
State: optimized geometry

POSCAR file:
```
MgFe2Rh2
1.0
3.340 0.000 0.000
0.000 3.340 0.000
1.670 1.670 6.554
Rh Fe Mg
2 2 1
direct
0.604 0.604 0.792
0.396 0.396 0.208
0.250 0.750 0.500
0.750 0.250 0.500
0.000 0.000 0.000
```

Output
**Formation energy from the elements**: 0.66 eV/f.u.
**DOS(E_F)**: 1.808 states/eV per atom

---

Material: MgFe2Rh
Method: DFT, PBE-GGA
State: optimized geometry

POSCAR file:
```
MgFe2Rh
1.0
-0.112 2.937 0.765
-0.873 -0.765 2.807
5.796 -0.232 1.741
Rh Mg Fe
1 1 2
direct
0.500 0.500 0.770
0.000 0.000 0.500
0.000 0.000 0.012
0.500 0.500 0.218
```

Output
**Formation energy from the elements**: -0.19 eV/f.u.
**DOS(E_F)**: 1.179 states/eV per atom